Entry 1:
DFT (PBE) results for NdDyGa2Pt4 after structural relaxation.

Lattice parameters (Å, degrees): 4.4005 4.4005 9.3233 90.00 90.00 120.00
Closest atoms and distances in Å follow each position.
Space group P-6m2 (No. 187)
Symmetry-distinct sites (fractional):
Nd 0.0000 0.0000 0.0000 [1 per cell]  8 Pt 3.03-3.15
Dy 0.6667 0.3333 0.5000 [1 per cell]  8 Pt 2.96-3.01
Ga 0.3333 0.6667 0.2539 [2 per cell]  6 Pt 2.64-2.66
Pt 0.0000 0.0000 0.3376 [2 per cell]  3 Ga 2.66, 3 Pt 2.95, 3 Dy 2.96
Pt 0.6667 0.3333 0.1774 [2 per cell]  3 Ga 2.64, 3 Pt 2.95

Entry 2:
DFT (PBE) results for DyGa6Ni after structural relaxation.

Lattice parameters (Å, degrees): 6.2675 6.2675 4.2316 90.00 90.00 120.00
Closest atoms and distances in Å follow each position.
Space group P-6m2 (No. 187)
Symmetry-distinct sites (fractional):
Dy 0.0000 0.0000 0.0000 [1 per cell]  12 Ga 2.94-3.14
Ga 0.0397 0.5198 0.0000 [3 per cell]  2 Ni 2.65, 6 Ga 2.76-2.80
Ga 0.3772 0.1886 0.5000 [3 per cell]  6 Ga 2.72-2.80, 2 Dy 2.94
Ni 0.3333 0.6667 0.5000 [1 per cell]  6 Ga 2.65

Entry 3:
DFT (PBE) results for DyGaNi after structural relaxation.

Lattice parameters (Å, degrees): 6.8265 4.2756 7.3852 90.00 90.00 90.00
Closest atoms and distances in Å follow each position.
Space group Pnma (No. 62)
Symmetry-distinct sites (fractional):
Dy 0.0196 0.2500 0.1954 [4 per cell]  5 Ni 2.82-3.07, 6 Ga 3.00-3.12
Ga 0.1732 0.2500 0.5755 [4 per cell]  4 Ni 2.51-2.66
Ni 0.2153 0.7500 0.4024 [4 per cell]  4 Ga 2.51-2.66

Entry 4:
DFT (PBE) results for DyGa2Ni2 after structural relaxation.

Lattice parameters (Å, degrees): 4.0503 4.0503 9.8971 90.00 90.00 90.00
Closest atoms and distances in Å follow each position.
Space group I4/mmm (No. 139)
Symmetry-distinct sites (fractional):
Dy 0.0000 0.0000 0.0000 [2 per cell]  8 Ga 3.13, 8 Ni 3.20
Ga 0.0000 0.0000 0.3728 [4 per cell]  4 Ni 2.36, 1 Ga 2.52
Ni 0.0000 0.5000 0.2500 [4 per cell]  4 Ga 2.36

| no. | E (eV/cell) | total moment (μB/f.u.) |
| --- | --- | --- |
| 1 | -47.83 | 0.00 |
| 2 | -29.84 | 0.00 |
| 3 | -60.60 | 0.00 |
| 4 | -49.11 | 0.00 |